Computed, not measured: an optimized crystal structure of LiRePd2 at the PBE level of DFT.

a = 4.303 Å, b = 4.303 Å, c = 4.303 Å
α = 60.00°, β = 60.00°, γ = 60.00°
Sites, in units of the cell vectors:
Li (0.500, 0.500, 0.500)
Pd (0.000, 0.000, 0.000)
Pd (0.750, 0.750, 0.750)
Re (0.250, 0.250, 0.250)

## Properties
Its size of the total moment is 0.0 μB per cell. The value obtained for the total energy is -5.8681 eV/atom. Its symmetry is F-43m.

=====

Computed, not measured: an optimized crystal structure of DyPPtO at the PBE level of DFT.

a = 4.098 Å, b = 4.098 Å, c = 7.689 Å
α = 90.00°, β = 90.00°, γ = 90.00°
Sites, in units of the cell vectors:
Dy (0.000, 0.000, 0.132)
Dy (0.500, 0.500, 0.868)
O (0.500, 0.000, 0.000)
O (0.000, 0.500, 0.000)
P (0.500, 0.500, 0.335)
P (0.000, 0.000, 0.665)
Pt (0.500, 0.000, 0.500)
Pt (0.000, 0.500, 0.500)

## Properties
Its size of the total moment is 0.0 μB per cell. The energy above the most stable polymorph in this dataset is 0.0000 eV/atom. Its symmetry is P4/nmm.

=====

Computed, not measured: an optimized crystal structure of CsErGe at the PBE level of DFT.

a = 5.399 Å, b = 5.399 Å, c = 5.399 Å
α = 60.00°, β = 60.00°, γ = 60.00°
Sites, in units of the cell vectors:
Cs (0.250, 0.250, 0.250)
Er (0.750, 0.750, 0.750)
Ge (0.000, 0.000, 0.000)

## Properties
Its size of the total moment is 0.0 μB per cell. The energy above the most stable polymorph in this dataset is 0.0000 eV/atom. Its symmetry is F-43m.

=====

Computed, not measured: an optimized crystal structure of CsNa3Cd2Sn2 at the PBE level of DFT.

a = 6.432 Å, b = 6.114 Å, c = 7.165 Å
α = 90.00°, β = 103.97°, γ = 90.00°
Sites, in units of the cell vectors:
Cd (0.993, 0.254, 0.001)
Cd (0.993, 0.746, 0.001)
Cs (0.547, 0.000, 0.178)
Na (0.831, 0.500, 0.500)
Na (0.178, 0.000, 0.527)
Na (0.466, 0.500, 0.788)
Sn (0.251, 0.500, 0.303)
Sn (0.741, 0.000, 0.701)

## Properties
The value obtained for the total energy is -1.9637 eV/atom. Its symmetry is Pm.

=====

Copy entry 2 word for word.
Computed, not measured: an optimized crystal structure of DyPPtO at the PBE level of DFT.

a = 4.098 Å, b = 4.098 Å, c = 7.689 Å
α = 90.00°, β = 90.00°, γ = 90.00°
Sites, in units of the cell vectors:
Dy (0.000, 0.000, 0.132)
Dy (0.500, 0.500, 0.868)
O (0.500, 0.000, 0.000)
O (0.000, 0.500, 0.000)
P (0.500, 0.500, 0.335)
P (0.000, 0.000, 0.665)
Pt (0.500, 0.000, 0.500)
Pt (0.000, 0.500, 0.500)

## Properties
Its size of the total moment is 0.0 μB per cell. The energy above the most stable polymorph in this dataset is 0.0000 eV/atom. Its symmetry is P4/nmm.